Material: NaAl3In3
Method: DFT, PBE-GGA
State: relaxed

Calculated values
**SG**: No. 223

POSCAR file:
```
NaAl3In3
1.0
-1.8998 -2.1478 -7.1701
0.6681 -7.4166 2.0446
-7.4550 -0.1173 2.0104
Al In Na
6 6 2
Direct
0.2500 0.5000 0.0000
0.0000 0.2500 0.5000
0.5000 0.0000 0.7500
0.5000 0.0000 0.2500
0.7500 0.5000 0.0000
0.0000 0.7500 0.5000
0.0000 0.5000 0.7500
0.2500 0.0000 0.5000
0.7500 0.0000 0.5000
0.0000 0.5000 0.2500
0.5000 0.2500 0.0000
0.5000 0.7500 0.0000
0.5000 0.5000 0.5000
0.0000 0.0000 0.0000
```

Material: Na2Al2In
Method: DFT, PBE-GGA
State: relaxed

Calculated values
**SG**: No. 139
**Excess energy over the best structure of this formula in the dataset**: 3.84 kcal/mol of atoms

POSCAR file:
```
Na2Al2In
1.0
-2.1595 -3.2646 -1.3801
2.6160 -2.5585 1.9587
-3.9628 -2.6499 6.2285
In Na Al
1 2 2
Direct
0.0000 0.0000 0.0000
0.7500 0.2500 0.5000
0.2500 0.7500 0.5000
0.4115 0.4115 0.1770
0.5885 0.5885 0.8230
```

Material: Na3AlIn3O8
Method: DFT, PBE-GGA
State: relaxed

Calculated values
**Formation energy without anion corrections**: -25.8 eV per formula unit
**SG**: No. 166

POSCAR file:
```
Na3AlIn3O8
1.0
-5.0063 -3.8205 1.0231
5.5297 -1.1201 2.9815
-3.6412 5.2803 1.9034
O Al Na In
8 1 3 3
Direct
0.7868 0.5736 0.3080
0.7655 0.9787 0.6919
0.7383 0.4766 0.7148
0.2617 0.5234 0.2852
0.2345 0.0213 0.3081
0.2132 0.9786 0.6919
0.2132 0.4264 0.6920
0.7868 0.0214 0.3081
0.0000 0.0000 0.5000
0.5000 0.5000 0.0000
0.0000 0.5000 0.0000
0.0000 0.0000 0.0000
0.0000 0.5000 0.5000
0.5000 0.0000 0.5000
0.5000 0.5000 0.5000
```

Material: NaAlInPb
Method: DFT, PBE-GGA
State: relaxed

Calculated values
**SG**: No. 216

POSCAR file:
```
NaAlInPb
1.0
5.2457 0.0000 0.0000
2.6228 4.5429 0.0000
2.6228 1.5143 4.2831
Pb In Al Na
1 1 1 1
Direct
0.5000 0.5000 0.5000
0.0000 0.0000 0.0000
0.2500 0.2500 0.2500
0.7500 0.7500 0.7500
```

no.,DFT total energy (eV per atom),total magnetic moment (μB/atom)
1,-2.574,0.00
2,-2.317,0.00
3,-5.423,0.07
4,-2.805,0.00